1.
Computed, not measured: an optimized crystal structure of Pm4HoBi5 at the PBE-GGA level of DFT.

Values from the calculation:
**Energy of formation from the pure elements**: -88.5 kJ per mole of atoms

POSCAR file:
```
Pm4HoBi5
1.0
-3.0784 -1.5210 2.9964
1.5201 -4.2545 -0.5980
11.3636 4.9911 10.7425
Pm Ho Bi
4 1 5
Direct
0.4003 0.4003 0.8006
0.8007 0.8007 0.6014
0.1993 0.1993 0.3986
0.5997 0.5997 0.1994
0.0000 0.0000 0.0000
0.0984 0.0984 0.1968
0.5000 0.5000 0.0000
0.9016 0.9016 0.8032
0.2999 0.2999 0.5999
0.7001 0.7001 0.4001
```

2.
Computed, not measured: an optimized crystal structure of PuTc3B2 at the PBE-GGA level of DFT.

Values from the calculation:
**Energy of formation from the pure elements**: -11.6 kJ per mole of atoms

POSCAR file:
```
PuTc3B2
1.0
0.5269 1.1642 2.7405
1.0130 -5.4657 3.7952
8.1399 -0.0408 0.1205
Pu Tc B
2 6 4
Direct
0.8662 0.5576 0.7099
0.1338 0.4424 0.2901
0.1522 0.9283 0.7674
0.8478 0.0717 0.2326
0.4196 0.2115 0.9492
0.5804 0.7885 0.0508
0.5837 0.2453 0.5873
0.4163 0.7547 0.4127
0.2286 0.5713 0.9716
0.7714 0.4287 0.0284
0.7691 0.9279 0.5339
0.2309 0.0721 0.4661
```

3.
Computed, not measured: an optimized crystal structure of USbN at the PBE-GGA level of DFT.

Values from the calculation:
**Raw formation energy**: -2.02 eV per formula unit
**E above lowest polymorph**: 7.30 kcal/mol of atoms

POSCAR file:
```
USbN
1.0
-0.6017 3.7497 0.4921
-2.2442 -2.5479 1.7709
6.2180 -0.0307 7.8359
U Sb N
2 2 2
Direct
0.6667 0.3333 0.1407
0.3333 0.6667 0.8593
0.6667 0.3333 0.5991
0.3333 0.6667 0.4009
0.6667 0.3333 0.9143
0.3333 0.6667 0.0857
```

4.
Computed, not measured: an optimized crystal structure of ScCuP2 at the PBE-GGA level of DFT.

Values from the calculation:
**Energy of formation from the pure elements**: -14.6 kJ per mole of atoms

POSCAR file:
```
ScCuP2
1.0
1.6948 -2.9356 0.0000
1.6948 2.9356 0.0000
0.0000 0.0000 15.8346
Sc Cu P
2 2 4
Direct
0.0000 0.0000 0.0000
0.0000 0.0000 0.5000
0.6667 0.3333 0.2500
0.3333 0.6667 0.7500
0.6667 0.3333 0.1125
0.3333 0.6667 0.6125
0.3333 0.6667 0.8875
0.6667 0.3333 0.3875
```

5.
Computed, not measured: an optimized crystal structure of Ti2GeB at the PBE-GGA level of DFT.

Values from the calculation:
**Energy of formation from the pure elements**: -13.0 kJ per mole of atoms
**E above lowest polymorph**: 8.61 kcal/mol of atoms

POSCAR file:
```
Ti2GeB
1.0
-0.5734 -6.4455 0.1927
5.2836 -0.5805 -3.6956
3.9169 -3.5849 0.4927
Ge B Ti
2 2 4
Direct
0.0000 0.0000 0.0000
0.7500 0.2500 0.5000
0.5000 0.5000 0.0000
0.2500 0.7500 0.5000
0.5882 0.1250 0.2500
0.1618 0.6250 0.2500
0.3750 0.4118 0.7500
0.8750 0.8382 0.7500
```

6.
Computed, not measured: an optimized crystal structure of LaCo at the PBE-GGA level of DFT.

Values from the calculation:
**Energy of formation from the pure elements**: 5.3 kJ per mole of atoms

POSCAR file:
```
LaCo
1.0
10.9983 0.0000 0.0000
0.0000 4.5800 0.0000
0.0000 0.0000 5.0644
La Co
6 6
Direct
0.7777 0.0000 0.1085
0.2223 0.0000 0.1085
0.2777 0.5000 0.6085
0.7223 0.5000 0.6085
0.0000 0.5000 0.0301
0.5000 0.0000 0.5301
0.8941 0.0000 0.6111
0.1059 0.0000 0.6111
0.3941 0.5000 0.1111
0.6059 0.5000 0.1111
0.0000 0.5000 0.5329
0.5000 0.0000 0.0329
```

Number 1: total magnetization 0.000 μB/atom. Number 2: total magnetization 0.708 μB/atom. Number 3: total magnetization 0.744 μB/atom. Number 4: total magnetization 0.000 μB/atom. Number 5: total magnetization 0.000 μB/atom. Number 6: total magnetization 0.000 μB/atom.